Computed, not measured: Li2AgIrCl8 after structural relaxation at the PBE-GGA level of DFT.

Structure (POSCAR):
```
Li2AgIrCl8
1.0
-4.566 2.409 3.744
2.531 -4.434 3.469
5.884 4.186 2.868
Li Ag Ir Cl
2 1 1 8
direct
0.565 0.436 0.763
0.435 0.564 0.237
0.000 0.000 0.500
0.000 0.000 0.000
0.152 0.785 0.231
0.678 0.720 0.990
0.865 0.167 0.201
0.848 0.215 0.769
0.322 0.280 0.010
0.135 0.833 0.799
0.679 0.700 0.498
0.321 0.300 0.502
```

Summary:
The value obtained for the raw total energy is -3.376 eV per atom. As for the space group: P-1 (2). The energy relative to the elements, uncorrected comes out at -0.850 eV/atom.


Computed, not measured: MnAgIrCl6 after structural relaxation at the PBE-GGA level of DFT.

Structure (POSCAR):
```
MnAgIrCl6
1.0
-4.935 -0.525 3.942
5.772 -1.814 1.888
2.125 11.058 4.131
Mn Ag Ir Cl
2 2 2 12
direct
0.333 0.667 0.250
0.667 0.333 0.750
0.000 0.000 0.000
0.000 0.000 0.500
0.667 0.333 0.250
0.333 0.667 0.750
0.651 0.631 0.136
0.980 0.349 0.136
0.349 0.980 0.636
0.020 0.651 0.864
0.369 0.349 0.364
0.980 0.631 0.364
0.631 0.980 0.864
0.651 0.020 0.364
0.020 0.369 0.636
0.369 0.020 0.136
0.631 0.651 0.636
0.349 0.369 0.864
```

Summary:
The value obtained for the raw total energy is -4.205 eV per atom. As for the space group: P-31c (163). The energy relative to the elements, uncorrected comes out at -0.654 eV/atom.


Computed, not measured: NaAg2IrCl6 after structural relaxation at the PBE-GGA level of DFT.

Structure (POSCAR):
```
NaAg2IrCl6
1.0
-2.317 1.251 6.251
-1.338 -5.143 4.214
4.456 -1.085 5.549
Na Ag Ir Cl
1 2 1 6
direct
0.816 0.816 0.552
0.615 0.615 0.156
0.018 0.018 0.947
0.316 0.316 0.052
0.539 0.222 0.274
0.222 0.965 0.274
0.965 0.539 0.274
0.410 0.667 0.829
0.667 0.094 0.829
0.094 0.410 0.829
```

Summary:
The value obtained for the raw total energy is -3.406 eV per atom. As for the space group: R-3 (148). The energy relative to the elements, uncorrected comes out at -0.709 eV/atom.


- Which value of raw total energy does entry 3 give?
  -3.406 eV per atom


Please write out number 3 again, unchanged.
Computed, not measured: NaAg2IrCl6 after structural relaxation at the PBE-GGA level of DFT.

Structure (POSCAR):
```
NaAg2IrCl6
1.0
-2.317 1.251 6.251
-1.338 -5.143 4.214
4.456 -1.085 5.549
Na Ag Ir Cl
1 2 1 6
direct
0.816 0.816 0.552
0.615 0.615 0.156
0.018 0.018 0.947
0.316 0.316 0.052
0.539 0.222 0.274
0.222 0.965 0.274
0.965 0.539 0.274
0.410 0.667 0.829
0.667 0.094 0.829
0.094 0.410 0.829
```

Summary:
The value obtained for the raw total energy is -3.406 eV per atom. As for the space group: R-3 (148). The energy relative to the elements, uncorrected comes out at -0.709 eV/atom.